Compound: AgTe2Mo
Source: the Alexandria database
Functional: PBE
Structure: optimized geometry

a = 3.6576 Å, b = 3.6576 Å, c = 7.3819 Å
α = 90.00°, β = 90.00°, γ = 90.00°
Closest atoms and distances in Å follow each position.
Element x y z (fractional)
Ag1 0.0000 0.0000 0.0000  5 Te 2.82-2.86, 4 Mo 3.05
Te1 0.0000 0.0000 0.3879  1 Ag 2.86, 4 Mo 2.87
Te2 0.5000 0.5000 0.8479  1 Mo 2.74, 4 Ag 2.82
Mo1 0.5000 0.5000 0.2191  5 Te 2.74-2.87, 4 Ag 3.05

Calculated values
Raw total energy: -18.9 eV/cell
Density of states at the Fermi level: 4.297 states/eV/f.u.
E_form (uncorrected): 0.255 eV per atom